A plane-wave DFT calculation with GGA-PBE was carried out for Dy4NiPd after structural relaxation.

Unit cell a=8.885 b=13.938 c=6.757 alpha=90.00 beta=129.67 gamma=90.00
Space group C2/c (No. 15)
Asymmetric unit:
Dy  0.164  0.219  0.162 [8 per cell]
Dy  0.247  0.030  0.751 [8 per cell]
Ni  0.000  0.089  0.250 [4 per cell]
Pd  0.000  0.371  0.750 [4 per cell]

Size of the total moment   0.00 μB/cell
Energy of formation from the pure elements   -34 kJ per mole of atoms
Volume   644 Å³/cell
Offset from the most stable computed form   53 meV/atom